Compound: CdIr
Source: the Alexandria database
Functional: PBE
Structure: optimized geometry

a = 8.446 Å, b = 7.820 Å, c = 4.734 Å
α = 80.50°, β = 65.94°, γ = 33.56°
Fractional coordinates of all 8 atoms:
Cd 0.042 0.708 0.042
Cd 0.292 0.958 0.292
Cd 0.708 0.042 0.708
Cd 0.958 0.292 0.958
Ir 0.290 0.290 0.460
Ir 0.460 0.460 0.290
Ir 0.540 0.540 0.710
Ir 0.710 0.710 0.540

Calculated values
energy relative to the elements	0.250	eV/atom
space-group type	Fddd (70)
total energy	-4.638	eV/atom
calculated density	13.66	g/cm3